CoHO2 | GGA+U | optimized geometry

a b c (Å): 3.0655 3.0655 8.8455
angles (deg): 90.00 90.00 124.13
Last column: nearest neighbours and their distance in Å.
Element x y z (fractional)
Co1 0.0000 0.0000 0.0000  4 O 1.91
Co2 0.0000 0.0000 0.5000  4 O 1.91
H1 0.3670 0.6330 0.7500  2 O 1.21
H2 0.6330 0.3670 0.2500  2 O 1.21
O1 0.3569 0.6431 0.6132  1 H 1.21
O2 0.3569 0.6431 0.8868  1 H 1.21
O3 0.6431 0.3569 0.1132  1 H 1.21
O4 0.6431 0.3569 0.3868  1 H 1.21

Summary:
DFT total energy: -5.5106 eV/atom
DOS(E_F): 0.12 states/eV/f.u.
Space group: Cmcm
Spin magnetization: 2.000 μB/f.u.